First-principles (PBE) data for an optimized crystal structure of TaOs3I, as listed in OQMD via LeMat-Bulk.

Unit cell a=4.731 b=4.731 c=4.731 alpha=90.00 beta=90.00 gamma=90.00
Space group Pm-3m (No. 221)
One atom of each set of equivalent atoms:
Ta: 0.000 0.000 0.000 [1 per cell]
Os: 0.000 0.500 0.500 [3 per cell]
I: 0.500 0.500 0.500 [1 per cell]

***

First-principles (PBE) data for an optimized crystal structure of GdHoMg2, as listed in OQMD via LeMat-Bulk.

Unit cell a=5.357 b=5.357 c=3.791 alpha=90.00 beta=90.00 gamma=90.00
Space group P4/mmm (No. 123)
One atom of each set of equivalent atoms:
Gd: 0.000 0.000 0.000 [1 per cell]
Ho: 0.500 0.500 0.000 [1 per cell]
Mg: 0.000 0.500 0.500 [2 per cell]

***

First-principles (PBE) data for an optimized crystal structure of LuNiMoPb, as listed in OQMD via LeMat-Bulk.

Unit cell a=6.706 b=6.706 c=6.706 alpha=90.00 beta=90.00 gamma=90.00
Space group F-43m (No. 216)
One atom of each set of equivalent atoms:
Lu: 0.000 0.000 0.000 [4 per cell]
Ni: 0.250 0.250 0.750 [4 per cell]
Mo: 0.250 0.250 0.250 [4 per cell]
Pb: 0.000 0.000 0.500 [4 per cell]

***

VASP energy for every record listed, in sequence, given in eV/atom: -6.61, -3.16, -5.84.
Total magnetic moment for every record listed, in sequence, given in Bohr magnetons per cell: 0.3, 0.1, 3.7.